(1)
The following is a PBE calculation of an optimized crystal structure of Pm4Ge3, from Alexandria.

```
Pm4Ge3
1.0
8.1528 -2.0381 0.0000
8.1528 2.0381 0.0000
-0.8727 0.0000 5.8638
Pm Ge
4 3
direct
0.0836 0.0836 0.3132
0.3383 0.3383 0.1577
0.6617 0.6617 0.8423
0.9164 0.9164 0.6868
0.2718 0.2718 0.6437
0.5000 0.5000 0.0000
0.7282 0.7282 0.3563
```

Calculated values
**Total energy**: -37.2 eV per formula unit
**SG**: No. 12
**Energy above the lowest structure with this stoichiometry**: 0.2153 eV per atom

(2)
The following is a PBE calculation of an optimized crystal structure of Pb2C, from Alexandria.

```
Pb2C
1.0
3.6785 0.0000 0.0000
-1.8392 3.1857 0.0000
0.0000 0.0000 6.1218
Pb C
2 1
direct
0.3333 0.6667 0.2262
0.6667 0.3333 0.7738
0.0000 0.0000 0.0000
```

Calculated values
**Total energy**: -13.5 eV per formula unit
**SG**: No. 164
**Energy above the lowest structure with this stoichiometry**: 0.0092 eV per atom

(3)
The following is a PBE calculation of an optimized crystal structure of Tc4H, from Alexandria.

```
Tc4H
1.0
3.9243 0.0000 0.0000
0.0000 3.9243 0.0000
0.0000 0.0000 3.9243
Tc H
4 1
direct
0.0000 0.0000 0.0000
0.0000 0.5000 0.5000
0.5000 0.0000 0.5000
0.5000 0.5000 0.0000
0.5000 0.5000 0.5000
```

Calculated values
**Total energy**: -44.5 eV per formula unit
**SG**: No. 221

(4)
The following is a PBE calculation of an optimized crystal structure of Mn5Si, from Alexandria.

```
Mn5Si
1.0
4.0422 0.0000 0.0000
0.0000 1.2979 6.2933
0.0000 -1.2979 6.2933
Mn Si
5 1
direct
0.0000 0.0000 0.0000
0.0000 0.3313 0.3313
0.0000 0.6638 0.6638
0.5000 0.2148 0.2148
0.5000 0.5534 0.5534
0.5000 0.8814 0.8814
```

Calculated values
**Total energy**: -51.8 eV per formula unit
**SG**: No. 38

(5)
The following is a PBE calculation of an optimized crystal structure of HoEr3, from Alexandria.

```
HoEr3
1.0
3.5835 0.0000 0.0000
0.0000 5.5434 0.0000
0.0000 0.0000 6.2062
Ho Er
1 3
direct
0.0000 0.0000 0.0000
0.0000 0.5000 0.3339
0.5000 0.0000 0.5003
0.5000 0.5000 0.8337
```

Calculated values
**Total energy**: -18.3 eV per formula unit
**SG**: No. 25
**Energy above the lowest structure with this stoichiometry**: 0.0000 eV per atom

(6)
The following is a PBE calculation of an optimized crystal structure of PrOs2, from Alexandria.

```
PrOs2
1.0
5.4195 0.0000 0.0000
-2.7098 4.6934 0.0000
0.0000 0.0000 18.0942
Pr Os
8 16
direct
0.0000 0.0000 0.0920
0.0000 0.0000 0.4080
0.0000 0.0000 0.5920
0.0000 0.0000 0.9080
0.3333 0.6667 0.1559
0.3333 0.6667 0.3441
0.6667 0.3333 0.6559
0.6667 0.3333 0.8441
0.0000 0.5000 0.0000
0.0000 0.5000 0.5000
0.1633 0.3267 0.7500
0.1633 0.8367 0.7500
0.3267 0.1633 0.2500
0.3333 0.6667 0.6267
0.3333 0.6667 0.8733
0.5000 0.0000 0.0000
0.5000 0.0000 0.5000
0.5000 0.5000 0.0000
0.5000 0.5000 0.5000
0.6667 0.3333 0.1267
0.6667 0.3333 0.3733
0.6733 0.8367 0.7500
0.8367 0.1633 0.2500
0.8367 0.6733 0.2500
```

Calculated values
**Total energy**: -27.4 eV per formula unit
**SG**: No. 194
**Energy above the lowest structure with this stoichiometry**: 0.0020 eV per atom

(7)
The following is a PBE calculation of an optimized crystal structure of PmSi3Pd2, from Alexandria.

```
PmSi3Pd2
1.0
-2.0775 2.0775 12.4609
2.0775 -2.0775 12.4609
2.0775 2.0775 -12.4609
Pm Si Pd
2 6 4
direct
0.1476 0.1476 0.0000
0.8524 0.8524 0.0000
0.0469 0.5469 0.5000
0.3050 0.3050 0.0000
0.4531 0.9531 0.5000
0.5469 0.0469 0.5000
0.6950 0.6950 0.0000
0.9531 0.4531 0.5000
0.2500 0.7500 0.5000
0.4036 0.4036 0.0000
0.5964 0.5964 0.0000
0.7500 0.2500 0.5000
```

Calculated values
**Total energy**: -35.7 eV per formula unit
**SG**: No. 139
**Energy above the lowest structure with this stoichiometry**: 0.0000 eV per atom

(8)
The following is a PBE calculation of an optimized crystal structure of RbPmTl, from Alexandria.

```
RbPmTl
1.0
19.1489 0.0000 0.0000
0.0000 1.9440 3.2750
0.0000 -1.9440 3.2750
Rb Pm Tl
2 2 2
direct
0.1680 0.0000 0.0000
0.8320 0.0000 0.0000
0.3711 0.3918 0.3918
0.6289 0.3918 0.3918
0.0000 0.3394 0.3394
0.5000 0.0476 0.0476
```

Calculated values
**Total energy**: -7.6 eV per formula unit
**SG**: No. 38

(9)
The following is a PBE calculation of an optimized crystal structure of Tb2Hg2Pd15, from Alexandria.

```
Tb2Hg2Pd15
1.0
4.5988 2.6551 4.6059
-4.5988 2.6551 4.6059
0.0000 -5.3102 4.6059
Tb Hg Pd
2 2 15
direct
0.1485 0.1485 0.1485
0.8515 0.8515 0.8515
0.3979 0.3979 0.3979
0.6021 0.6021 0.6021
0.0000 0.5000 0.5000
0.1544 0.1544 0.6655
0.1544 0.6655 0.1544
0.1823 0.5000 0.8177
0.1823 0.8177 0.5000
0.3345 0.8456 0.8456
0.5000 0.0000 0.5000
0.5000 0.1823 0.8177
0.5000 0.5000 0.0000
0.5000 0.8177 0.1823
0.6655 0.1544 0.1544
0.8177 0.1823 0.5000
0.8177 0.5000 0.1823
0.8456 0.3345 0.8456
0.8456 0.8456 0.3345
```

Calculated values
**Total energy**: -93.9 eV per formula unit
**SG**: No. 166

(10)
The following is a PBE calculation of an optimized crystal structure of Fe2TcRhN, from Alexandria.

```
Fe2TcRhN
1.0
3.8686 0.0000 0.0000
0.0000 3.8686 0.0000
0.0000 0.0000 3.9678
Fe Tc Rh N
2 1 1 1
direct
0.0000 0.5000 0.0000
0.5000 0.0000 0.0000
0.0000 0.0000 0.5000
0.5000 0.5000 0.5000
0.0000 0.0000 0.0000
```

Calculated values
**Total energy**: -42.9 eV per formula unit
**SG**: No. 123

(11)
The following is a PBE calculation of an optimized crystal structure of CaCd2InO4, from Alexandria.

```
CaCd2InO4
1.0
-2.4161 2.4161 4.8410
2.4161 -2.4161 4.8410
2.4161 2.4161 -4.8410
Ca Cd In O
1 2 1 4
direct
0.0000 0.0000 0.0000
0.5000 0.5000 0.0000
0.7500 0.2500 0.5000
0.2500 0.7500 0.5000
0.0061 0.5061 0.5000
0.2493 0.2493 0.0000
0.4939 0.9939 0.5000
0.7507 0.7507 0.0000
```

Calculated values
**Total energy**: -38.5 eV per formula unit
**SG**: No. 119

(12)
The following is a PBE calculation of an optimized crystal structure of ZrCr2Cl, from Alexandria.

```
ZrCr2Cl
1.0
-1.5664 2.5745 4.2615
1.5664 -2.5745 4.2615
1.5664 2.5745 -4.2615
Zr Cr Cl
1 2 1
direct
0.0000 0.0000 0.0000
0.4925 0.4925 0.0000
0.6980 0.1980 0.5000
0.2677 0.7677 0.5000
```

Calculated values
**Total energy**: -28.2 eV per formula unit
**SG**: No. 44
**Energy above the lowest structure with this stoichiometry**: 0.4644 eV per atom